Record 1
Compound: Pr2Er
Source: Alexandria via LeMat-Bulk
Functional: PBE
Structure: optimized geometry

Lattice parameters (Å, degrees): 3.658 3.658 8.135 102.99 102.99 90.00
Positions (direct):
Pr 0.664 0.664 0.328
Pr 0.336 0.336 0.672
Er 0.000 0.000 0.000

Computed properties:
* space group: I4/mmm (139)
* magnetization: 0.00 μB per atom
* D(E_F): 4.9 states/eV/cell
* E_form: 28 meV/atom


Record 2
Compound: PrEr5
Source: Alexandria via LeMat-Bulk
Functional: PBE
Structure: optimized geometry

Lattice parameters (Å, degrees): 5.015 5.005 7.913 108.44 90.00 90.00
Positions (direct):
Pr 0.000 0.000 0.000
Er 0.500 0.832 0.665
Er 0.000 0.668 0.337
Er 0.500 0.500 0.000
Er 0.000 0.332 0.663
Er 0.500 0.168 0.335

Computed properties:
* space group: Cmmm (65)
* magnetization: 0.00 μB per atom
* D(E_F): 8.3 states/eV/cell
* E_form: 26 meV/atom


Record 3
Compound: Pr2Er3
Source: Alexandria via LeMat-Bulk
Functional: PBE
Structure: optimized geometry

Lattice parameters (Å, degrees): 5.069 6.210 6.231 80.68 66.00 65.91
Positions (direct):
Pr 0.402 0.896 0.300
Pr 0.598 0.104 0.700
Er 0.800 0.302 0.098
Er 0.000 0.500 0.500
Er 0.200 0.698 0.902

Computed properties:
* space group: C2/m (12)
* magnetization: 0.00 μB per atom
* D(E_F): 7.1 states/eV/cell
* E_form: 24 meV/atom


Record 4
Compound: Pr5Er6
Source: Alexandria via LeMat-Bulk
Functional: PBE
Structure: optimized geometry

Lattice parameters (Å, degrees): 9.084 8.047 6.457 80.14 72.33 55.64
Positions (direct):
Pr 0.500 0.000 0.500
Pr 0.368 0.265 0.000
Pr 0.632 0.735 0.000
Pr 0.238 0.524 0.500
Pr 0.762 0.476 0.500
Er 0.840 0.000 0.695
Er 0.160 0.000 0.305
Er 0.301 0.748 0.825
Er 0.952 0.748 0.175
Er 0.699 0.252 0.175
Er 0.048 0.252 0.825

Computed properties:
* space group: C2/m (12)
* magnetization: 0.00 μB per atom
* D(E_F): 12.8 states/eV/cell
* E_form: 137 meV/atom